DFT (PBE-GGA) results for a relaxed CsLi2CdPd crystal.

## Properties
crystal system	tetragonal
calculated formation energy	-0.08	eV per atom
space-group type	P4/mmm (123)
DOS(E_F)	2.37	states/eV/f.u.
DFT total energy	-2.242	eV/atom

abc: 5.192 5.192 5.446
angles: 90.00 90.00 90.00
Element x y z (fractional)
Cs 0.000 0.000 0.000
Li 0.000 0.500 0.500
Li 0.500 0.000 0.500
Cd 0.500 0.500 0.000
Pd 0.500 0.500 0.500